No. 1
A plane-wave DFT calculation with GGA-PBE was carried out for an optimized crystal structure of Dy2ThNi9.

```
data_Dy2ThNi9
_chemical_formula_sum 'Dy6 Th3 Ni27'
_cell_length_a 4.9833
_cell_length_b 4.9833
_cell_length_c 24.5147
_cell_angle_alpha 90.00
_cell_angle_beta 90.00
_cell_angle_gamma 120.00
_symmetry_space_group_name_H-M 'R -3 m'
_symmetry_Int_Tables_number 166
_symmetry_space_group_name_Hall '-R 3 2"'
loop_
_atom_site_label
_atom_site_fract_x
_atom_site_fract_y
_atom_site_fract_z
Dy1 0.0000 0.0000 0.1401
Th1 0.0000 0.0000 0.0000
Ni1 0.0000 0.0000 0.3331
Ni2 0.0000 0.0000 0.5000
Ni3 0.0008 0.5004 0.9169
```

Properties
The density of states at the Fermi level comes out at 1.193 states/eV/atom. Its raw total energy is -221.95 eV per cell. The calculation puts the calculated volume at 14.64 A^3/atom.

***

No. 2
A plane-wave DFT calculation with GGA-PBE was carried out for an optimized crystal structure of Nd5Sm4Al.

```
data_Nd5Sm4Al
_chemical_formula_sum 'Nd10 Sm8 Al2'
_cell_length_a 10.726
_cell_length_b 10.726
_cell_length_c 5.920
_cell_angle_alpha 90.00
_cell_angle_beta 90.00
_cell_angle_gamma 90.00
_symmetry_space_group_name_H-M 'I 4 m m'
_symmetry_Int_Tables_number 107
_symmetry_space_group_name_Hall 'I 4 -2'
loop_
_atom_site_label
_atom_site_fract_x
_atom_site_fract_y
_atom_site_fract_z
Nd1 0.000 0.000 0.000
Nd2 0.184 0.184 0.311
Sm1 0.000 0.313 0.804
Al1 0.000 0.000 0.523
```

Properties
The density of states at the Fermi level comes out at 1.299 states/eV/atom. Its raw total energy is -90.67 eV per cell. The distance to the lowest polymorph of the same formula comes out at 162 meV per atom. The calculation puts the calculated volume at 34.05 A^3/atom.

***

Number 1: total magnetic moment 0.0 μB per cell. Number 2: total magnetic moment 0.0 μB per cell.